1.
The following is a PBE calculation of crystalline HfInCu at its relaxed geometry, from Alexandria via LeMat-Bulk.

Output
E: -5.587 eV/atom
DOS(E_F): 6.5 states/eV/cell

```
HfInCu
1.0
4.005 0.000 0.000
0.000 4.005 0.000
0.000 0.000 7.145
Hf Cu In
2 2 2
Direct
0.000 0.500 0.132 Hf
0.500 0.000 0.868 Hf
0.000 0.500 0.769 Cu
0.500 0.000 0.231 Cu
0.000 0.000 0.500 In
0.500 0.500 0.500 In
```



2.
The following is a PBE calculation of crystalline HfInCu at its relaxed geometry, from Alexandria via LeMat-Bulk.

Output
E: -5.754 eV/atom
DOS(E_F): 13.5 states/eV/cell

```
HfInCu
1.0
3.430 0.000 0.000
0.000 7.458 0.000
0.000 0.000 13.031
Hf In Cu
6 6 6
Direct
0.000 0.212 0.947 Hf
0.000 0.788 0.053 Hf
0.000 0.212 0.553 Hf
0.000 0.788 0.447 Hf
0.000 0.181 0.250 Hf
0.000 0.819 0.750 Hf
0.500 0.435 0.110 In
0.500 0.565 0.890 In
0.500 0.435 0.390 In
0.500 0.565 0.610 In
0.500 0.840 0.250 In
0.500 0.160 0.750 In
0.500 0.070 0.089 Cu
0.500 0.930 0.911 Cu
0.500 0.070 0.411 Cu
0.500 0.930 0.589 Cu
0.000 0.566 0.250 Cu
0.000 0.434 0.750 Cu
```



3.
The following is a PBE calculation of crystalline HfInCu2 at its relaxed geometry, from Alexandria via LeMat-Bulk.

Output
E: -4.908 eV/atom
DOS(E_F): 6.6 states/eV/cell

```
HfInCu2
1.0
-5.144 3.309 -3.727
3.416 -1.561 -6.099
-2.352 -1.650 -5.101
Hf Cu In
2 4 2
Direct
0.000 0.000 0.000 Hf
0.750 0.250 0.500 Hf
0.623 0.125 0.250 Cu
0.127 0.625 0.250 Cu
0.375 0.377 0.750 Cu
0.875 0.873 0.750 Cu
0.500 0.500 0.000 In
0.250 0.750 0.500 In
```



4.
The following is a PBE calculation of crystalline HfInCu at its relaxed geometry, from Alexandria via LeMat-Bulk.

Output
E: -5.676 eV/atom
DOS(E_F): 3.6 states/eV/cell

```
HfInCu
1.0
3.160 0.000 0.000
0.005 9.254 -0.065
0.000 -2.105 3.913
Hf Cu In
2 2 2
Direct
0.580 0.368 0.146 Hf
0.579 0.771 0.049 Hf
0.079 0.643 0.420 Cu
0.080 0.497 0.774 Cu
0.081 0.175 0.452 In
0.079 0.965 0.742 In
```



5.
The following is a PBE calculation of crystalline HfIn3Cu at its relaxed geometry, from Alexandria via LeMat-Bulk.

Output
Energy above the lowest structure with this stoichiometry: 0 meV/atom
E: -3.953 eV/atom
DOS(E_F): 2.8 states/eV/cell

```
HfIn3Cu
1.0
-0.814 4.796 0.890
-3.847 -1.186 2.871
2.998 -0.220 3.926
Hf Cu In
1 1 3
Direct
0.500 0.500 0.500 Hf
0.000 0.000 0.000 Cu
0.000 0.500 0.000 In
0.000 0.000 0.500 In
0.500 0.000 0.000 In
```



6.
The following is a PBE calculation of crystalline HfInCu at its relaxed geometry, from Alexandria via LeMat-Bulk.

Output
E: -5.666 eV/atom
DOS(E_F): 3.2 states/eV/cell

```
HfInCu
1.0
3.204 -0.002 0.000
0.011 6.201 0.048
1.606 1.777 5.760
Hf Cu In
2 2 2
Direct
0.763 0.476 0.289 Hf
0.094 0.663 0.626 Hf
0.430 0.782 0.956 Cu
0.428 0.358 0.959 Cu
0.793 0.994 0.225 In
0.063 0.146 0.690 In
```



7.
The following is a PBE calculation of crystalline HfInCu2 at its relaxed geometry, from Alexandria via LeMat-Bulk.

Output
E: -5.262 eV/atom
DOS(E_F): 3.0 states/eV/cell

```
HfInCu2
1.0
3.150 0.000 0.000
0.000 3.150 0.000
0.000 0.000 6.891
Hf In Cu
1 1 2
Direct
0.500 0.500 0.000 Hf
0.500 0.500 0.500 In
0.000 0.000 0.754 Cu
0.000 0.000 0.246 Cu
```



8.
The following is a PBE calculation of crystalline Hf2InCu at its relaxed geometry, from Alexandria via LeMat-Bulk.

Output
E: -6.843 eV/atom
DOS(E_F): 4.6 states/eV/cell

```
Hf2InCu
1.0
4.284 0.000 -1.188
-0.330 4.271 -1.188
0.024 0.025 8.403
Hf In Cu
4 2 2
Direct
0.000 0.500 0.000 Hf
0.500 0.000 0.000 Hf
0.357 0.357 0.713 Hf
0.643 0.643 0.287 Hf
0.142 0.142 0.285 In
0.858 0.858 0.715 In
0.250 0.750 0.500 Cu
0.750 0.250 0.500 Cu
```